NaScFeS3: optimized geometry, PBE.

Calculated values
Calculated volume (Å³ per cell): 486
Offset from the most stable computed form (eV per atom): 0.004
Symmetry: Pnma

Cell lengths 13.042, 3.695, 10.089 Å; angles 90.00, 90.00, 90.00 degrees
Each line ends with the local moment (μB).
Atoms (fractional coordinates):
Fe1 0.489 0.750 0.087  3.00
Fe2 0.989 0.750 0.413  3.00
Fe3 0.011 0.250 0.587  3.00
Fe4 0.511 0.250 0.913  3.00
Na1 0.265 0.250 0.046  0.00
Na2 0.765 0.250 0.454  0.00
Na3 0.235 0.750 0.546  0.00
Na4 0.735 0.750 0.954  0.00
S1 0.104 0.750 0.070  0.03
S2 0.594 0.250 0.117  0.14
S3 0.367 0.750 0.247  0.11
S4 0.867 0.750 0.253  0.11
S5 0.094 0.250 0.383  0.14
S6 0.604 0.750 0.430  0.03
S7 0.396 0.250 0.570  0.03
S8 0.906 0.750 0.617  0.14
S9 0.133 0.250 0.747  0.11
S10 0.633 0.250 0.753  0.11
S11 0.406 0.750 0.883  0.14
S12 0.896 0.250 0.930  0.03
Sc1 0.983 0.250 0.154  0.05
Sc2 0.483 0.250 0.346  0.05
Sc3 0.516 0.750 0.654  0.05
Sc4 0.017 0.750 0.846  0.05